This record from Alexandria via LeMat-Bulk describes a relaxed structure of LaSm2DySb4. The functional is PBE.

Calculated values
Calculated volume = 32.0 Å³ per atom
ΔE_f (raw) = -1.1819 eV/atom
Uncorrected energy = -5.61 eV/atom

abc: 7.773 4.495 7.780
angles: 90.00 109.45 90.00
Space group P2/m (No. 10)
Inequivalent atoms, fractional coordinates:
La  0.000  0.000  0.000 (multiplicity 1)
Sm  0.000  0.500  0.500 (multiplicity 1)
Sm  0.500  0.000  0.500 (multiplicity 1)
Dy  0.500  0.500  0.000 (multiplicity 1)
Sb  0.256  0.000  0.751 (multiplicity 2)
Sb  0.257  0.500  0.253 (multiplicity 2)

This record from Alexandria via LeMat-Bulk describes a relaxed structure of La3Sm2DySb6. The functional is PBE.

Calculated values
Calculated volume = 33.0 Å³ per atom
ΔE_f (raw) = -1.2161 eV/atom
Uncorrected energy = -5.68 eV/atom

abc: 7.860 13.612 7.847
angles: 90.00 109.49 90.00
Space group C2/m (No. 12)
Inequivalent atoms, fractional coordinates:
La  0.000  0.000  0.000 (multiplicity 2)
La  0.000  0.332  0.000 (multiplicity 4)
Sm  0.000  0.166  0.500 (multiplicity 4)
Dy  0.000  0.500  0.500 (multiplicity 2)
Sb  0.245  0.335  0.740 (multiplicity 8)
Sb  0.250  0.000  0.741 (multiplicity 4)

Question: Which of these has the lowest uncorrected energy?
Answer: La3Sm2DySb6